# Tl6FeO12

A geometry-optimized Tl6FeO12 structure (GGA+U, Alexandria via LeMat-Bulk).

```
Tl6FeO12
1.0
-3.340 -2.261 -5.077
3.336 -5.393 1.356
-4.633 -0.656 4.489
Tl Fe O
6 1 12
Cartesian
-2.272 -2.301 2.451
-5.054 -4.274 0.850
-1.679 -6.020 2.339
-2.366 -6.008 -1.684
0.416 -4.035 -0.083
-2.959 -2.289 -1.572
0.000 0.000 0.000
-3.632 -2.301 0.778
-0.549 -3.923 1.842
-1.401 -3.775 -1.696
-1.006 -6.008 -0.010
-4.089 -4.386 -1.075
-3.237 -4.534 2.464
-0.288 -5.566 4.296
1.953 -5.921 0.148
-3.748 -2.346 4.397
-4.349 -2.743 -3.529
-6.590 -2.388 0.619
-0.889 -5.963 -3.630
```

Values from the calculation:
Calculated density ... 9276 kg/m³
VASP energy ... -4.7564 eV per atom